A plane-wave DFT calculation with PBE with a Hubbard U was carried out for crystalline Mn2BiBr2O2 at its relaxed geometry.

Its uncorrected energy is -39.8 eV for the cell shown.

a = 3.6550 Å, b = 6.7801 Å, c = 6.8284 Å
α = 91.40°, β = 105.39°, γ = 105.41°
Closest atoms and distances in Å follow each position.
Space group P-1 (No. 2)
One atom of each set of equivalent atoms:
1 Mn 0.1280 0.4427 0.3111 [2 per cell]  3 O 2.06-2.23
2 Bi 0.5000 0.0000 0.5000 [1 per cell]  2 O 2.37
3 Br 0.1929 0.7680 0.0950 [2 per cell]  2 Mn 2.68-2.88, 1 Bi 2.93
4 O 0.3760 0.6600 0.5947 [2 per cell]  3 Mn 2.06-2.23